# 1
This record from Alexandria describes crystalline LaTa2Tl at its relaxed geometry. The functional is PBE-GGA.

Structure (POSCAR):
```
LaTa2Tl
1.0
-0.2525 -1.4460 -4.0878
3.8153 -2.0197 0.4787
-3.1869 -10.3248 1.5416
Ta La Tl
4 2 2
Cartesian
1.5601 -4.0026 0.2350 Ta
-1.1114 -9.0129 -0.2044 Ta
0.7845 -10.8064 -1.9946 Ta
-0.4814 -3.7591 -2.1710 Ta
1.2049 -7.0387 0.1079 La
1.7814 -1.7328 -1.8045 La
0.0000 0.0000 0.0000 Tl
-0.8290 -6.7518 -2.1754 Tl
```

## Properties
Fermi-level density of states ... 0.82 states/eV/atom
Density ... 11.85 g/cm³

=====

# 2
This record from Alexandria describes crystalline NaOsPd2 at its relaxed geometry. The functional is PBE-GGA.

Structure (POSCAR):
```
NaOsPd2
1.0
4.0717 0.0000 0.0000
0.0000 4.0717 0.0000
2.0359 2.0359 8.6703
Na Pd Os
2 4 2
Cartesian
2.0359 4.0717 4.3351 Na
2.0359 2.0359 0.0000 Na
3.0538 2.9694 6.5027 Pd
5.0896 5.1740 6.5027 Pd
3.1382 1.0179 2.1676 Pd
0.9335 3.0538 2.1676 Pd
0.0000 0.0000 0.0000 Os
4.0717 2.0359 4.3351 Os
```

## Properties
Fermi-level density of states ... 0.27 states/eV/atom
Energy above the lowest structure with this stoichiometry ... 0.386 eV per atom
Density ... 9.84 g/cm³

=====

Energy of formation from the pure elements / meV per atom: 817.4 966.2